VASP calculation (GGA-PBE) on ZnTeRu3 after structural relaxation.

Formation energy (no corrections) (meV per atom): 1470
Energy relative to the lowest polymorph listed for this composition (meV per atom): 109.1

Lattice parameters (Å, degrees): 4.793 4.793 4.793 90.00 90.00 90.00
Space group Pm-3m (No. 221)
Unique sites:
1 Zn 0.000 0.000 0.000 [1 per cell]
2 Te 0.500 0.500 0.500 [1 per cell]
3 Ru 0.000 0.500 0.500 [3 per cell]